Record 1
Crystalline La3NdDy2Tm6 at its relaxed geometry. Source: Alexandria via LeMat-Bulk, functional GGA-PBE.

- space-group type = No. 12

Unit cell a=6.210 b=6.210 c=11.747 alpha=95.05 beta=95.05 gamma=119.99
Sites, in units of the cell vectors:
La 0.000 0.000 0.000
La 0.333 0.667 0.000
La 0.667 0.333 0.000
Nd 0.500 0.500 0.500
Dy 0.167 0.833 0.500
Dy 0.833 0.167 0.500
Tm 0.084 0.418 0.254
Tm 0.248 0.248 0.746
Tm 0.418 0.084 0.254
Tm 0.582 0.916 0.746
Tm 0.752 0.752 0.254
Tm 0.916 0.582 0.746



Record 2
Crystalline Pu2BeRu at its relaxed geometry. Source: Alexandria via LeMat-Bulk, functional GGA-PBE.

- space-group type = No. 123

Unit cell a=3.542 b=3.542 c=5.878 alpha=90.00 beta=90.00 gamma=90.00
Sites, in units of the cell vectors:
Pu 0.000 0.000 0.241
Pu 0.000 0.000 0.759
Be 0.500 0.500 0.000
Ru 0.500 0.500 0.500



Number 1: spin magnetization 0.0 Bohr magnetons per cell, E_tot -55.309 eV for the cell shown, formation energy 23 meV per atom. Number 2: spin magnetization 9.4 Bohr magnetons per cell, E_tot -41.348 eV for the cell shown, formation energy 80 meV per atom.